Material: MnPRuS
Method: DFT, PBE-GGA
State: optimized geometry

Properties
total magnetization = 2.7 μB per formula unit
energy relative to the elements, uncorrected = -1.1 eV/f.u.
energy above the lowest structure with this stoichiometry = 0.143 eV per atom

The structure in extended XYZ format:
```
4
Lattice="3.049 0.000 0.000 0.000 3.393 0.000 0.000 0.000 5.352" Properties=species:S:1:pos:R:3 pbc="T T T"
Mn 0.000 0.000 0.000
P 0.000 0.000 2.651
Ru 1.525 1.696 3.521
S 1.525 1.696 0.495
```

***

Material: MnPRuS
Method: DFT, PBE-GGA
State: optimized geometry

Properties
total magnetization = 0.5 μB per formula unit
energy relative to the elements, uncorrected = -1.1 eV/f.u.
energy above the lowest structure with this stoichiometry = 0.128 eV per atom

The structure in extended XYZ format:
```
4
Lattice="3.708 -1.498 0.000 3.708 1.498 0.000 -1.022 0.000 4.863" Properties=species:S:1:pos:R:3 pbc="T T T"
Mn 0.000 0.000 0.000
P 3.163 0.000 1.700
Ru 1.012 0.000 2.732
S 4.268 0.000 4.517
```